Entry 1:
Material: Pm4Sb5O
Method: DFT, PBE-GGA
State: optimized geometry

```
Pm4Sb5O
1.0
9.1997 -2.0555 0.0000
9.1997 2.0555 0.0000
-0.4795 0.0000 7.7673
Pm Sb O
4 5 1
Cartesian
0.5532 0.0000 2.3974 Pm
6.7590 0.0000 2.7225 Pm
11.1610 0.0000 5.0448 Pm
17.3668 0.0000 5.3698 Pm
1.8615 0.0000 7.4381 Sb
3.6190 0.0000 2.9507 Sb
9.1997 0.0000 0.0000 Sb
14.3010 0.0000 4.8165 Sb
16.0585 0.0000 0.3292 Sb
8.9600 0.0000 3.8836 O
```

The formation energy from raw total energies comes out at -0.981 eV/atom. For the total magnetic moment, the calculation gives 0.00 μB per cell. As for the uncorrected energy: -54.38 eV/cell.

---

Entry 2:
Material: AlCd3P
Method: DFT, PBE-GGA
State: optimized geometry

```
AlCd3P
1.0
5.1349 0.0000 0.0000
0.0000 5.1349 0.0000
0.0000 0.0000 5.1349
Al Cd P
1 3 1
Cartesian
0.0000 0.0000 0.0000 Al
0.0000 2.5674 2.5674 Cd
2.5674 0.0000 2.5674 Cd
2.5674 2.5674 0.0000 Cd
2.5674 2.5674 2.5674 P
```

For the total magnetic moment, the calculation gives 0.00 μB per cell. As for the uncorrected energy: -9.45 eV/cell. The distance to the lowest polymorph of the same formula is 0 meV per atom. The value obtained for the energy relative to the elements is 0.489 eV/atom.

---

Entry 3:
Material: Li2TiSbH
Method: DFT, PBE-GGA
State: optimized geometry

```
Li2TiSbH
1.0
4.0495 0.0000 0.0000
0.0000 4.0495 0.0000
0.0000 0.0000 4.1800
Li Ti Sb H
2 1 1 1
Cartesian
0.0000 2.0248 0.0000 Li
2.0248 0.0000 0.0000 Li
0.0000 0.0000 2.0900 Ti
2.0248 2.0248 2.0900 Sb
0.0000 0.0000 0.0000 H
```

For the total magnetic moment, the calculation gives 0.00 μB per cell. As for the uncorrected energy: -21.23 eV/cell.

---

> Which formula does entry 3 have?

Li2TiSbH